Entry 1:
## HoCd2Ag8 (PBE)

Data for a relaxed HoCd2Ag8 crystal.

Total energy, eV/cell: -58.86
Energy above the lowest structure with this stoichiometry, meV per atom: 79
ΔE_f, eV/atom: -0.019

```
data_HoCd2Ag8
_cell_length_a 7.540
_cell_length_b 14.786
_cell_length_c 5.172
_cell_angle_alpha 90.00
_cell_angle_beta 129.46
_cell_angle_gamma 90.00
_symmetry_space_group_name_H-M 'C 1 2/m 1'
_symmetry_Int_Tables_number 12
_symmetry_space_group_name_Hall '-C 2y'
loop_
_atom_site_label
_atom_site_fract_x
_atom_site_fract_y
_atom_site_fract_z
Ho1 0.000 0.000 0.000
Cd1 0.000 0.321 0.500
Ag1 0.000 0.202 0.000
Ag2 0.007 0.500 0.258
Ag3 0.231 0.135 0.747
```

=====

Entry 2:
## Ce2Nd2Si4Ir (PBE)

Data for a relaxed Ce2Nd2Si4Ir crystal.

Total energy, eV/cell: -111.72
ΔE_f (raw), meV per atom: -433.7

```
data_Ce2Nd2Si4Ir
_cell_length_a 7.129
_cell_length_b 7.129
_cell_length_c 8.198
_cell_angle_alpha 90.00
_cell_angle_beta 90.00
_cell_angle_gamma 90.00
_symmetry_space_group_name_H-M 'I 4/m m m'
_symmetry_Int_Tables_number 139
_symmetry_space_group_name_Hall '-I 4 2'
loop_
_atom_site_label
_atom_site_fract_x
_atom_site_fract_y
_atom_site_fract_z
Ce1 0.000 0.000 0.167
Nd1 0.000 0.500 0.250
Si1 0.240 0.240 0.500
Ir1 0.000 0.000 0.500
```

=====

Entry 3:
## Dy6Y3Ho2Er (PBE)

Data for a relaxed Dy6Y3Ho2Er crystal.

Total energy, eV/cell: -120.97
ΔE_f, eV/atom: 0.020

```
data_Dy6Y3Ho2Er
_cell_length_a 6.140
_cell_length_b 10.622
_cell_length_c 11.742
_cell_angle_alpha 90.00
_cell_angle_beta 99.98
_cell_angle_gamma 90.00
_symmetry_space_group_name_H-M 'C 1 2/m 1'
_symmetry_Int_Tables_number 12
_symmetry_space_group_name_Hall '-C 2y'
loop_
_atom_site_label
_atom_site_fract_x
_atom_site_fract_y
_atom_site_fract_z
Dy1 0.250 0.000 0.248
Dy2 0.250 0.167 0.752
Y1 0.000 0.000 0.500
Y2 0.000 0.333 0.500
Ho1 0.000 0.167 0.000
Er1 0.000 0.500 0.000
```

=====

Entry 4:
## TbSm2Ag6 (PBE)

Data for a relaxed TbSm2Ag6 crystal.

Total energy, eV/cell: -33.47
ΔE_f, eV/atom: -0.255

```
data_TbSm2Ag6
_cell_length_a 8.2875
_cell_length_b 8.2875
_cell_length_c 3.4893
_cell_angle_alpha 90.00
_cell_angle_beta 90.00
_cell_angle_gamma 120.00
_symmetry_space_group_name_H-M 'P 6/m m m'
_symmetry_Int_Tables_number 191
_symmetry_space_group_name_Hall '-P 6 2'
loop_
_atom_site_label
_atom_site_fract_x
_atom_site_fract_y
_atom_site_fract_z
Tb1 0.0000 0.0000 0.0000
Sm1 0.3333 0.6667 0.0000
Ag1 0.0000 0.3323 0.5000
```

=====

Entry 5:
## TlInPd3 (PBE)

Data for a relaxed TlInPd3 crystal.

Total energy, eV/cell: -44.31
Energy above the lowest structure with this stoichiometry, meV per atom: 3
ΔE_f, eV/atom: -0.295

```
data_TlInPd3
_cell_length_a 6.034
_cell_length_b 4.334
_cell_length_c 7.097
_cell_angle_alpha 90.00
_cell_angle_beta 102.79
_cell_angle_gamma 90.00
_symmetry_space_group_name_H-M 'P 1 21/m 1'
_symmetry_Int_Tables_number 11
_symmetry_space_group_name_Hall '-P 2yb'
loop_
_atom_site_label
_atom_site_fract_x
_atom_site_fract_y
_atom_site_fract_z
Tl1 0.050 0.250 0.342
In1 0.455 0.250 0.157
Pd1 0.167 0.750 0.045
Pd2 0.260 0.250 0.757
Pd3 0.350 0.750 0.453
```

=====

Entry 6:
## Cs3Cl5O (PBE)

Data for a relaxed Cs3Cl5O crystal.

Total energy, eV/cell: -50.71
ΔE_f (raw), meV per atom: -955.8

```
data_Cs3Cl5O
_cell_length_a 10.3854
_cell_length_b 10.3854
_cell_length_c 6.8502
_cell_angle_alpha 90.00
_cell_angle_beta 90.00
_cell_angle_gamma 120.00
_symmetry_space_group_name_H-M 'P 63'
_symmetry_Int_Tables_number 173
_symmetry_space_group_name_Hall 'P 6c'
loop_
_atom_site_label
_atom_site_fract_x
_atom_site_fract_y
_atom_site_fract_z
Cs1 0.0133 0.3699 0.0000
Cl1 0.0074 0.2389 0.5042
Cl2 0.3333 0.6667 0.3070
Cl3 0.3333 0.6667 0.6944
O1 0.0000 0.0000 0.0949
```